Record 1
{"formula": "La2PrNdS4", "functional": "GGA-PBE", "state": "optimized geometry", "n_ef_per_ev_atom": 0.61, "total_energy_ev_per_atom": -6.589, "formation_energy_uncorrected_ev_per_atom": -2.1001, "spacegroup": "P2/m", "rho_kg_m3": 5796, "lattice_angstrom": [[7.140, 0.000, 0.000], [0.000, 4.105, 0.000], [-2.373, 0.000, 6.756]], "species": ["La", "La", "Pr", "Nd", "S", "S", "S", "S"], "fractional_positions": [[0.000, 0.000, 0.000], [0.000, 0.500, 0.500], [0.500, 0.000, 0.500], [0.500, 0.500, 0.000], [0.253, 0.500, 0.249], [0.254, 0.000, 0.753], [0.746, 0.000, 0.247], [0.747, 0.500, 0.751]]}

***

Record 2
{"formula": "La4PrNd3S8", "functional": "GGA-PBE", "state": "optimized geometry", "n_ef_per_ev_atom": 0.54, "total_energy_ev_per_atom": -6.588, "formation_energy_uncorrected_ev_per_atom": -2.0996, "spacegroup": "R-3m", "rho_kg_m3": 5827, "lattice_angstrom": [[4.120, 2.379, 6.715], [-4.120, 2.379, 6.715], [0.000, -4.758, 6.715]], "species": ["La", "La", "La", "La", "Pr", "Nd", "Nd", "Nd", "S", "S", "S", "S", "S", "S", "S", "S"], "fractional_positions": [[0.000, 0.000, 0.000], [0.000, 0.500, 0.500], [0.500, 0.000, 0.500], [0.500, 0.500, 0.000], [0.500, 0.500, 0.500], [0.000, 0.000, 0.500], [0.000, 0.500, 0.000], [0.500, 0.000, 0.000], [0.247, 0.749, 0.749], [0.248, 0.248, 0.248], [0.251, 0.251, 0.753], [0.251, 0.753, 0.251], [0.749, 0.247, 0.749], [0.749, 0.749, 0.247], [0.752, 0.752, 0.752], [0.753, 0.251, 0.251]]}

***

Record 3
{"formula": "La3PrNd2S6", "functional": "GGA-PBE", "state": "optimized geometry", "n_ef_per_ev_atom": 0.47, "total_energy_ev_per_atom": -6.593, "formation_energy_uncorrected_ev_per_atom": -2.1048, "spacegroup": "C2/m", "rho_kg_m3": 5823, "lattice_angstrom": [[3.566, -6.188, 0.000], [3.566, 6.188, 0.000], [-2.387, 0.000, 6.711]], "species": ["La", "La", "La", "Pr", "Nd", "Nd", "S", "S", "S", "S", "S", "S"], "fractional_positions": [[0.000, 0.000, 0.000], [0.334, 0.666, 0.000], [0.666, 0.334, 0.000], [0.500, 0.500, 0.500], [0.167, 0.833, 0.500], [0.833, 0.167, 0.500], [0.083, 0.418, 0.254], [0.247, 0.247, 0.746], [0.418, 0.083, 0.254], [0.582, 0.917, 0.746], [0.753, 0.753, 0.254], [0.917, 0.582, 0.746]]}

***

Record 4
{"formula": "LaPr4Nd3S8", "functional": "GGA-PBE", "state": "optimized geometry", "n_ef_per_ev_atom": 0.56, "total_energy_ev_per_atom": -6.500, "formation_energy_uncorrected_ev_per_atom": -2.0392, "spacegroup": "R-3m", "rho_kg_m3": 5929, "lattice_angstrom": [[4.099, 2.367, 6.696], [-4.099, 2.367, 6.696], [0.000, -4.734, 6.696]], "species": ["La", "Pr", "Pr", "Pr", "Pr", "Nd", "Nd", "Nd", "S", "S", "S", "S", "S", "S", "S", "S"], "fractional_positions": [[0.000, 0.000, 0.000], [0.000, 0.000, 0.500], [0.000, 0.500, 0.000], [0.500, 0.000, 0.000], [0.500, 0.500, 0.500], [0.000, 0.500, 0.500], [0.500, 0.000, 0.500], [0.500, 0.500, 0.000], [0.250, 0.250, 0.747], [0.250, 0.747, 0.250], [0.251, 0.251, 0.251], [0.253, 0.750, 0.750], [0.747, 0.250, 0.250], [0.749, 0.749, 0.749], [0.750, 0.253, 0.750], [0.750, 0.750, 0.253]]}

***

Record 5
{"formula": "LaPr3Nd2S6", "functional": "GGA-PBE", "state": "optimized geometry", "n_ef_per_ev_atom": 0.46, "total_energy_ev_per_atom": -6.517, "formation_energy_uncorrected_ev_per_atom": -2.0528, "spacegroup": "C2/m", "rho_kg_m3": 5915, "lattice_angstrom": [[3.549, -6.164, 0.000], [3.549, 6.164, 0.000], [-2.374, 0.000, 6.689]], "species": ["La", "Pr", "Pr", "Pr", "Nd", "Nd", "S", "S", "S", "S", "S", "S"], "fractional_positions": [[0.000, 0.000, 0.000], [0.167, 0.833, 0.500], [0.500, 0.500, 0.500], [0.833, 0.167, 0.500], [0.333, 0.667, 0.000], [0.667, 0.333, 0.000], [0.083, 0.418, 0.249], [0.253, 0.253, 0.752], [0.418, 0.083, 0.249], [0.582, 0.917, 0.751], [0.747, 0.747, 0.248], [0.917, 0.582, 0.751]]}

***

Record 6
{"formula": "LaPrNd2Sb4", "functional": "GGA-PBE", "state": "optimized geometry", "n_ef_per_ev_atom": 0.13, "total_energy_ev_per_atom": -5.678, "formation_energy_uncorrected_ev_per_atom": -1.2118, "spacegroup": "Imma", "rho_kg_m3": 6536, "lattice_angstrom": [[-4.560, 4.560, 6.448], [4.560, -4.560, 6.448], [4.560, 4.560, -6.448]], "species": ["La", "La", "Pr", "Pr", "Nd", "Nd", "Nd", "Nd", "Sb", "Sb", "Sb", "Sb", "Sb", "Sb", "Sb", "Sb"], "fractional_positions": [[0.500, 0.000, 0.000], [0.500, 0.500, 0.500], [0.000, 0.000, 0.000], [0.500, 0.000, 0.500], [0.000, 0.000, 0.500], [0.000, 0.500, 0.000], [0.000, 0.500, 0.500], [0.500, 0.500, 0.000], [0.246, 0.749, 0.497], [0.248, 0.251, 0.997], [0.249, 0.250, 0.501], [0.249, 0.747, 0.999], [0.751, 0.253, 0.001], [0.751, 0.750, 0.499], [0.752, 0.749, 0.003], [0.754, 0.251, 0.503]]}